A relaxed structure of Na3BSb. Source: Alexandria via LeMat-Bulk, functional PBE.

```
data_Na3BSb
_chemical_formula_sum 'Na3 B1 Sb1'
_symmetry_space_group_name_H-M 'P m -3 m'
_symmetry_Int_Tables_number 221
_symmetry_space_group_name_Hall '-P 4 2 3'
_cell_length_a 5.850
_cell_length_b 5.850
_cell_length_c 5.850
_cell_angle_alpha 90.00
_cell_angle_beta 90.00
_cell_angle_gamma 90.00
loop_
_atom_site_label
_atom_site_type_symbol
_atom_site_fract_x
_atom_site_fract_y
_atom_site_fract_z
Na1 Na 0.000 0.000 0.500
B1 B 0.500 0.500 0.500
Sb1 Sb 0.000 0.000 0.000
```

- ΔE_f (raw): 0.9024 eV per atom
- Crystal system: cubic
- VASP energy: -2.0490 eV per atom